Entry 1:
# GGA-PBE Pu2ZnC, optimized geometry
data_Pu2ZnC
_space_group_name_H-M_alt 'P 4/m m m'
_space_group_IT_number 123
_space_group_name_Hall '-P 4 2'
_cell_length_a 3.107
_cell_length_b 3.107
_cell_length_c 7.408
_cell_angle_alpha 90.00
_cell_angle_beta 90.00
_cell_angle_gamma 90.00
loop_
_atom_site_label
_atom_site_fract_x
_atom_site_fract_y
_atom_site_fract_z
Pu1 0.000 0.000 0.187
Zn1 0.500 0.500 0.500
C1 0.500 0.500 0.000
# E above lowest polymorph (meV per atom): 0

Entry 2:
Entry from the Alexandria database: Pu3ZnC after structural relaxation (GGA-PBE).

Structure (CIF):
```
data_Pu3ZnC
_space_group_name_H-M_alt 'P m -3 m'
_space_group_IT_number 221
_space_group_name_Hall '-P 4 2 3'
_cell_length_a 4.816
_cell_length_b 4.816
_cell_length_c 4.816
_cell_angle_alpha 90.00
_cell_angle_beta 90.00
_cell_angle_gamma 90.00
loop_
_atom_site_label
_atom_site_fract_x
_atom_site_fract_y
_atom_site_fract_z
Pu1 0.000 0.000 0.500
Zn1 0.500 0.500 0.500
C1 0.000 0.000 0.000
```

Calculated values (eV per atom) of total energy for the records, taken in order: -9.697, -10.600.
Calculated values (Bohr magnetons per cell) of magnetic moment for the records, taken in order: 10.26, 16.20.
Calculated values (meV/atom) of E_form for the records, taken in order: 94, 99.